5
Lattice="3.6869 0.0002 -0.0088 1.8434 3.1930 -0.0088 0.0350 0.0202 15.4829" Properties=species:S:1:pos:R:3 comment="Ca2Pm2Y (PBE-GGA, optimized geometry)" volume_a3_per_cell=182.3 energy_ev_per_fu=-19.80 e_above_lowest_polymorph_mev_per_atom=0 pbc="T T T"
Y 0.0000 0.0000 0.0000
Pm 3.7101 2.1422 12.5993
Ca 1.8682 1.0787 9.3916
Ca 3.6970 2.1347 6.0738
Pm 1.8552 1.0712 2.8661


4
Lattice="8.1908 0.0854 0.0029 6.1742 5.3830 -0.0029 -7.0525 -3.0757 2.8106" Properties=species:S:1:pos:R:3 comment="HgSeBr2 (PBE-GGA, optimized geometry)" formation_energy_uncorrected_mev_per_atom=47 volume_a3_per_cell=122.4 energy_ev_per_fu=-6.94 e_above_lowest_polymorph_mev_per_atom=225 pbc="T T T"
Br 0.1567 0.0596 0.0000
Br 4.3236 -0.0660 1.4067
Se 3.7261 2.7392 1.4039
Hg 6.2887 2.3939 0.0000


20
Lattice="-5.7747 -5.0081 4.1814 2.7201 -6.2565 -5.4193 6.3977 -1.1239 5.8068" Properties=species:S:1:pos:R:3 comment="PrY12Ho7 (PBE-GGA, optimized geometry)" volume_a3_per_cell=652.3 energy_ev_per_fu=-108.58 e_above_lowest_polymorph_mev_per_atom=0 pbc="T T T"
Y -0.1329 -8.7740 -0.0946
Pr 0.0000 0.0000 0.0000
Ho 4.8100 -10.4295 2.7172
Ho 0.5962 -2.6273 -1.4698
Y 5.6041 -6.4311 2.0605
Y 3.4760 -3.6145 4.6635
Ho 1.6715 -6.1943 2.2844
Y -0.1562 -5.2118 0.0035
Ho -1.4669 -1.9591 1.8517
Y 3.4993 -7.1767 4.5654
Ho 0.9681 -11.4007 2.8949
Y 0.0222 -8.5319 3.4351
Y 3.3209 -3.8567 1.1338
Y 2.9856 -5.9944 -1.4309
Y 0.2983 -3.7644 3.5955
Ho 2.7469 -9.7612 6.0387
Ho 2.3750 -0.9879 1.6739
Y 3.0447 -8.6241 0.9734
Y -2.2610 -5.9575 2.5083
Y 0.3574 -6.3941 5.9998


12
Lattice="5.4065 0.0000 0.0000 0.0000 5.4065 0.0000 -2.7032 -2.7032 6.0465" Properties=species:S:1:pos:R:3 comment="RbInCu2F8 (PBE-GGA, optimized geometry)" formation_energy_uncorrected_mev_per_atom=-1960 volume_a3_per_cell=176.7 energy_ev_per_fu=-50.39 pbc="T T T"
Cu 0.0000 2.7032 3.0232
F -1.5464 0.9590 5.4579
Cu 2.7032 2.7032 0.0000
F -1.4819 3.2568 4.1479
F 1.7443 1.1568 0.5886
In 0.0000 0.0000 0.0000
F 1.5464 -0.9590 5.4579
F 0.5536 4.1851 1.8985
F 1.4819 2.1496 4.1479
F -0.5536 1.2213 1.8985
F 3.6622 4.2496 0.5886
Rb 2.7032 0.0000 3.0232


4
Lattice="-0.8895 -3.4383 1.6803 3.5900 1.5332 0.4443 -1.5689 2.4572 4.1973" Properties=species:S:1:pos:R:3 comment="ReRu (PBE-GGA, optimized geometry)" volume_a3_per_cell=68.3 energy_ev_per_fu=-19.98 pbc="T T T"
Re 0.0000 0.0000 0.0000
Ru 1.7046 0.4903 1.9057
Ru -0.5730 0.0618 4.4163
Re -0.7844 1.2286 2.0987


12
Lattice="5.2960 0.0000 0.0000 0.0000 5.2962 -0.0004 -2.6480 -2.6491 13.5264" Properties=species:S:1:pos:R:3 comment="BaPa2Tl2S7 (PBE-GGA, optimized geometry)" formation_energy_uncorrected_mev_per_atom=-1346 volume_a3_per_cell=379.4 energy_ev_per_fu=-70.69 pbc="T T T"
S 0.0000 2.6466 11.2044
Pa 2.6480 2.6491 2.6279
S 0.0000 2.6533 2.3202
Pa 0.0000 -0.0007 10.8981
Ba 2.6480 -2.6328 13.5263
S 2.6480 0.0000 2.3216
S 2.6480 2.6443 5.1924
S 0.0000 -0.0135 13.5262
S 0.0000 -0.0051 8.3335
S 2.6480 0.0036 11.2058
Tl 2.6480 -0.0043 6.7626
Tl 0.0000 2.6432 6.7636


5
Lattice="-0.2435 3.7438 -0.7521 -1.7818 0.5552 3.3404 3.3774 0.5628 1.7080" Properties=species:S:1:pos:R:3 comment="AsBrN3 (PBE-GGA, optimized geometry)" formation_energy_uncorrected_mev_per_atom=2057 volume_a3_per_cell=56.0 energy_ev_per_fu=-21.01 pbc="T T T"
N 1.6887 0.2814 0.8540
N -0.8909 0.2776 1.6702
As 0.0000 0.0000 0.0000
N -0.1218 1.8719 -0.3761
Br 0.6761 2.4309 2.1481


8
Lattice="-2.3574 -0.0227 8.0514 -7.3495 -3.4199 -2.1615 -3.4248 -5.0500 3.3538" Properties=species:S:1:pos:R:3 comment="La2SiBi (PBE-GGA, optimized geometry)" formation_energy_uncorrected_mev_per_atom=-552 volume_a3_per_cell=256.6 energy_ev_per_fu=-21.37 e_above_lowest_polymorph_mev_per_atom=165 pbc="T T T"
Bi 0.0000 0.0000 0.0000
Bi -5.3178 -3.3970 7.1751
La -5.8080 -3.4034 0.7117
La -3.1845 -1.7036 5.3826
La -10.8634 -6.7073 7.7274
Si -7.8138 -5.0956 2.0686
Si -4.8534 -1.7213 2.9449
La -6.4074 -5.1710 4.6656


Please write out number 8 again, unchanged.
8
Lattice="-2.3574 -0.0227 8.0514 -7.3495 -3.4199 -2.1615 -3.4248 -5.0500 3.3538" Properties=species:S:1:pos:R:3 comment="La2SiBi (PBE-GGA, optimized geometry)" formation_energy_uncorrected_mev_per_atom=-552 volume_a3_per_cell=256.6 energy_ev_per_fu=-21.37 e_above_lowest_polymorph_mev_per_atom=165 pbc="T T T"
Bi 0.0000 0.0000 0.0000
Bi -5.3178 -3.3970 7.1751
La -5.8080 -3.4034 0.7117
La -3.1845 -1.7036 5.3826
La -10.8634 -6.7073 7.7274
Si -7.8138 -5.0956 2.0686
Si -4.8534 -1.7213 2.9449
La -6.4074 -5.1710 4.6656